(a)
A plane-wave DFT calculation with PBE was carried out for crystalline SrMnAs3 at its relaxed geometry.

## Properties
The density comes out at 5.32 g/cm³. As for the space-group type: Pm-3m (221). Its magnetization is 0.619 μB per atom.

```
SrMnAs3
1.0
4.859 0.000 0.000
0.000 4.859 0.000
0.000 0.000 4.859
Sr As Mn
1 3 1
Direct
0.500 0.500 0.500
0.000 0.500 0.000
0.000 0.000 0.500
0.500 0.000 0.000
0.000 0.000 0.000
```



(b)
A plane-wave DFT calculation with PBE was carried out for crystalline SrMnAs3 at its relaxed geometry.

## Properties
The density comes out at 3.59 g/cm³. As for the space-group type: Pm-3m (221). Its magnetization is 0.955 μB per atom.

```
SrMnAs3
1.0
5.538 0.000 0.000
0.000 5.538 0.000
0.000 0.000 5.538
Sr As Mn
1 3 1
Direct
0.000 0.000 0.000
0.000 0.500 0.000
0.000 0.000 0.500
0.500 0.000 0.000
0.500 0.500 0.500
```



Energies relative to the most stable structure are (a) 0.0; (b) 143.2, reported in kJ/mol of atoms.



(a)
A plane-wave DFT calculation with PBE was carried out for crystalline TaMnAs2 at its relaxed geometry.

## Properties
The density comes out at 9.95 g/cm³. As for the space-group type: F-43m (216). Its magnetization is 0.499 μB per atom.

```
TaMnAs2
1.0
-3.302 -2.205 2.114
0.151 -4.483 0.347
0.776 -1.922 3.993
As Mn Ta
2 1 1
Direct
0.000 0.000 0.000
0.250 0.250 0.250
0.500 0.500 0.500
0.750 0.750 0.750
```



(b)
A plane-wave DFT calculation with PBE was carried out for crystalline TaMnAs2 at its relaxed geometry.

## Properties
The density comes out at 10.27 g/cm³. As for the space-group type: C2/m (12). Its magnetization is 0.002 μB per atom.

```
TaMnAs2
1.0
-1.172 3.497 1.454
-0.032 1.637 3.610
4.891 2.895 -0.088
As Mn Ta
2 1 1
Direct
0.007 0.007 0.960
0.493 0.493 0.540
0.750 0.750 0.750
0.250 0.250 0.250
```



(c)
A plane-wave DFT calculation with PBE was carried out for crystalline TaMnAs2 at its relaxed geometry.

## Properties
The density comes out at 9.76 g/cm³. As for the space-group type: Immm (71). Its magnetization is 0.927 μB per atom.

```
TaMnAs2
1.0
-2.307 -3.826 -1.761
2.670 -1.111 -3.834
0.803 0.361 4.721
As Mn Ta
2 1 1
Direct
0.024 0.024 0.000
0.476 0.476 0.000
0.250 0.750 0.500
0.750 0.250 0.500
```



Energies relative to the most stable structure are (a) 21.6; (b) 4.9; (c) 0.0, reported in kJ/mol of atoms.



(a)
A plane-wave DFT calculation with PBE was carried out for crystalline TaMnAs2 at its relaxed geometry.

## Properties
The density comes out at 8.79 g/cm³. As for the space-group type: R-3m (166). Its magnetization is 1.150 μB per atom.

```
TaMnAs2
1.0
6.931 -0.495 -0.293
6.267 3.001 -0.293
6.267 1.190 2.771
As Mn Ta
2 1 1
Direct
0.999 0.999 0.999
0.501 0.501 0.501
0.250 0.250 0.250
0.750 0.750 0.750
```



(b)
A plane-wave DFT calculation with PBE was carried out for crystalline TaMnAs2 at its relaxed geometry.

## Properties
The density comes out at 10.14 g/cm³. As for the space-group type: Fm-3m (225). Its magnetization is 0.568 μB per atom.

```
TaMnAs2
1.0
1.065 -3.334 -2.782
1.416 -3.912 1.637
-2.619 -3.614 -0.265
As Mn Ta
2 1 1
Direct
0.250 0.250 0.250
0.750 0.750 0.750
0.000 0.000 0.000
0.500 0.500 0.500
```



(c)
A plane-wave DFT calculation with PBE was carried out for crystalline TaMnAs2 at its relaxed geometry.

## Properties
The density comes out at 10.22 g/cm³. As for the space-group type: P4/mmm (123). Its magnetization is 0.597 μB per atom.

```
TaMnAs2
1.0
-0.177 -2.057 3.905
3.249 -2.706 -1.278
2.173 2.052 1.179
As Mn Ta
2 1 1
Direct
0.000 0.000 0.000
0.500 0.500 0.000
0.500 0.000 0.500
0.000 0.500 0.500
```



(d)
A plane-wave DFT calculation with PBE was carried out for crystalline TaMnAs2 at its relaxed geometry.

## Properties
The density comes out at 9.86 g/cm³. As for the space-group type: P4mm (99). Its magnetization is 0.564 μB per atom.

```
TaMnAs2
1.0
-2.036 1.449 2.291
-2.711 -1.075 -1.729
-0.021 -4.785 3.009
As Mn Ta
2 1 1
Direct
0.000 0.000 0.957
0.500 0.500 0.302
0.000 0.000 0.466
0.500 0.500 0.774
```



Energies relative to the most stable structure are (a) 16.2; (b) 18.3; (c) 13.4; (d) 0.0, reported in kJ/mol of atoms.



(a)
A plane-wave DFT calculation with PBE was carried out for crystalline Ta3MnAs at its relaxed geometry.

## Properties
The density comes out at 11.46 g/cm³. As for the space-group type: Pm-3m (221). Its magnetization is 0.000 μB per atom.

```
Ta3MnAs
1.0
4.602 0.000 0.000
0.000 4.602 0.000
0.000 0.000 4.602
As Mn Ta
1 1 3
Direct
0.500 0.500 0.500
0.000 0.000 0.000
0.000 0.500 0.000
0.000 0.000 0.500
0.500 0.000 0.000
```



(b)
A plane-wave DFT calculation with PBE was carried out for crystalline Ta3MnAs at its relaxed geometry.

## Properties
The density comes out at 10.97 g/cm³. As for the space-group type: Pm-3m (221). Its magnetization is 0.023 μB per atom.

```
Ta3MnAs
1.0
-1.095 2.258 3.939
-1.100 -4.063 2.023
4.405 -0.454 1.484
As Mn Ta
1 1 3
Direct
0.000 0.000 0.000
0.500 0.500 0.500
0.000 0.500 0.000
0.000 0.000 0.500
0.500 0.000 0.000
```



Energies relative to the most stable structure are (a) 0.0; (b) 54.7, reported in kJ/mol of atoms.



(a)
A plane-wave DFT calculation with PBE was carried out for crystalline TaMn2As2 at its relaxed geometry.

## Properties
The density comes out at 10.55 g/cm³. As for the space-group type: P4/mbm (127). Its magnetization is 0.000 μB per atom.

```
TaMn2As2
1.0
6.968 0.000 0.000
0.000 6.968 0.000
0.000 0.000 2.858
As Mn Ta
4 4 2
Direct
0.347 0.847 0.000
0.847 0.653 0.000
0.653 0.153 0.000
0.153 0.347 0.000
0.141 0.641 0.500
0.641 0.859 0.500
0.859 0.359 0.500
0.359 0.141 0.500
0.000 0.000 0.000
0.500 0.500 0.000
```



(b)
A plane-wave DFT calculation with PBE was carried out for crystalline TaMn2As2 at its relaxed geometry.

## Properties
The density comes out at 10.00 g/cm³. As for the space-group type: I4/mmm (139). Its magnetization is 0.224 μB per atom.

```
TaMn2As2
1.0
-0.131 -1.639 -3.587
3.774 -1.093 0.362
0.459 -5.439 0.299
As Mn Ta
2 2 1
Direct
0.372 0.372 0.256
0.628 0.628 0.744
0.750 0.250 0.500
0.250 0.750 0.500
0.000 0.000 0.000
```



Energies relative to the most stable structure are (a) 0.0; (b) 12.2, reported in kJ/mol of atoms.



(a)
A plane-wave DFT calculation with PBE was carried out for crystalline TbMnAs2 at its relaxed geometry.

## Properties
The density comes out at 7.50 g/cm³. As for the space-group type: R-3m (166). Its magnetization is 0.746 μB per atom.

```
TbMnAs2
1.0
3.943 0.000 0.000
1.971 3.415 0.000
1.971 1.138 5.984
As Mn Tb
2 1 1
Direct
0.265 0.265 0.205
0.735 0.735 0.795
0.000 0.000 0.000
0.500 0.500 0.500
```



(b)
A plane-wave DFT calculation with PBE was carried out for crystalline TbMnAs2 at its relaxed geometry.

## Properties
The density comes out at 8.04 g/cm³. As for the space-group type: I4/mmm (139). Its magnetization is 0.481 μB per atom.

```
TbMnAs2
1.0
3.805 0.074 -0.671
-0.193 3.801 -0.671
-0.121 -0.129 10.424
Tb Mn As
2 2 4
Direct
0.115 0.115 0.231
0.885 0.885 0.769
0.250 0.750 0.500
0.750 0.250 0.500
0.325 0.325 0.651
0.675 0.675 0.349
0.000 0.500 0.000
0.500 0.000 0.000
```



Energies relative to the most stable structure are (a) 9.1; (b) 0.0, reported in kJ/mol of atoms.



(a)
A plane-wave DFT calculation with PBE was carried out for crystalline MnTcAs at its relaxed geometry.

## Properties
The density comes out at 9.45 g/cm³. As for the space-group type: P-6m2 (187). Its magnetization is 0.000 μB per atom.

```
MnTcAs
1.0
-1.922 3.394 -1.168
-0.938 -1.750 3.555
1.948 1.541 1.272
As Mn Tc
1 1 1
Direct
0.000 0.000 0.167
0.333 0.667 0.166
0.667 0.333 0.667
```



(b)
A plane-wave DFT calculation with PBE was carried out for crystalline MnTcAs at its relaxed geometry.

## Properties
The density comes out at 8.46 g/cm³. As for the space-group type: Fmm2 (42). Its magnetization is 0.973 μB per atom.

```
MnTcAs
1.0
6.360 0.006 -0.004
5.466 2.727 0.027
0.893 -0.885 2.574
As Mn Tc
1 1 1
Direct
0.999 0.999 0.001
0.336 0.336 0.664
0.665 0.665 0.335
```



(c)
A plane-wave DFT calculation with PBE was carried out for crystalline MnTcAs at its relaxed geometry.

## Properties
The density comes out at 9.10 g/cm³. As for the space-group type: P3m1 (156). Its magnetization is 0.297 μB per atom.

```
MnTcAs
1.0
-0.318 -1.676 -2.238
2.504 0.194 1.268
-1.496 -4.603 3.659
As Mn Tc
1 1 1
Direct
0.000 0.000 0.015
0.667 0.333 0.333
0.333 0.667 0.652
```



(d)
A plane-wave DFT calculation with PBE was carried out for crystalline MnTcAs at its relaxed geometry.

## Properties
The density comes out at 8.55 g/cm³. As for the space-group type: F-43m (216). Its magnetization is 0.000 μB per atom.

```
MnTcAs
1.0
-3.424 1.968 -0.407
-2.394 0.485 3.129
-0.430 3.593 1.632
As Mn Tc
1 1 1
Direct
0.500 0.500 0.500
0.250 0.250 0.250
0.000 0.000 0.000
```



Energies relative to the most stable structure are (a) 14.0; (b) 37.8; (c) 23.4; (d) 0.0, reported in kJ/mol of atoms.



(a)
A plane-wave DFT calculation with PBE was carried out for crystalline Mn2Tc2As at its relaxed geometry.

## Properties
The density comes out at 8.96 g/cm³. As for the space-group type: P4/mbm (127). Its magnetization is 0.000 μB per atom.

```
Mn2Tc2As
1.0
-1.737 -0.828 -6.879
-5.548 -4.082 1.893
-1.608 2.248 0.135
As Mn Tc
2 4 4
Direct
0.000 0.000 0.000
0.500 0.500 0.000
0.132 0.632 0.500
0.632 0.868 0.500
0.868 0.368 0.500
0.368 0.132 0.500
0.346 0.846 0.000
0.846 0.654 0.000
0.654 0.154 0.000
0.154 0.346 0.000
```



(b)
A plane-wave DFT calculation with PBE was carried out for crystalline Mn2Tc2As at its relaxed geometry.

## Properties
The density comes out at 9.20 g/cm³. As for the space-group type: I4/mmm (139). Its magnetization is 0.000 μB per atom.

```
Mn2Tc2As
1.0
-0.716 -2.686 1.465
2.543 -1.359 -1.249
4.683 -0.025 5.612
As Mn Tc
1 2 2
Direct
0.000 0.000 0.000
0.750 0.250 0.500
0.250 0.750 0.500
0.397 0.397 0.205
0.603 0.603 0.795
```



Energies relative to the most stable structure are (a) 10.1; (b) 0.0, reported in kJ/mol of atoms.